MnVPbO4, optimized geometry, DFT GGA+U; space group = P2_1/m, No. 11; M_tot = 6.0 μB per formula unit; calculated density = 5.2 g/cm3; final energy = -98.60 eV per cell
1.0
6.114 0.000 0.000
0.000 5.830 0.000
-1.000 0.000 6.760
Mn V Pb O
2 2 2 8
direct
0.127 0.250 0.086
0.873 0.750 0.914
0.355 0.750 0.902
0.645 0.250 0.098
0.253 0.250 0.627
0.747 0.750 0.373
0.134 0.514 0.846
0.134 0.986 0.846
0.434 0.750 0.159
0.443 0.250 0.257
0.557 0.750 0.743
0.566 0.250 0.841
0.866 0.014 0.154
0.866 0.486 0.154